Material: CaZn3Sn
Method: DFT, PBE-GGA
State: relaxed

Cell and atoms, written as extended XYZ:
```
5
Lattice="-2.482 -4.053 2.130 2.606 -3.243 -3.133 3.764 -0.428 3.574" Properties=species:S:1:pos:R:3 pbc="T T T"
Zn 1.303 -1.621 -1.567
Zn -1.241 -2.026 1.065
Zn 1.882 -0.214 1.787
Ca 1.944 -3.862 1.285
Sn 0.000 0.000 0.000
```

The formation energy is 0.265 eV per atom. For the energy above the most stable polymorph in this dataset, the calculation gives 0 meV per atom. The value obtained for the energy is -8.50 eV/cell.